Entry 1:
ZnIn3Hg2 PBE optimized geometry; formation energy from the elements = 0.04 eV per atom; M_tot = 0.00 μB/atom
1.0
4.805 0.000 0.000
0.000 10.003 0.000
0.000 0.000 12.551
Hg In Zn
8 12 4
Direct
0.750 0.980 0.659
0.250 0.020 0.341
0.250 0.480 0.841
0.750 0.165 0.997
0.250 0.835 0.003
0.250 0.665 0.503
0.750 0.520 0.159
0.750 0.335 0.497
0.250 0.801 0.751
0.750 0.629 0.935
0.750 0.620 0.662
0.250 0.120 0.838
0.750 0.871 0.435
0.250 0.380 0.338
0.750 0.301 0.749
0.250 0.699 0.251
0.250 0.129 0.565
0.750 0.880 0.162
0.250 0.371 0.065
0.750 0.199 0.249
0.750 0.918 0.880
0.750 0.582 0.380
0.250 0.418 0.620
0.250 0.082 0.120


Entry 2:
PmNi11 PBE optimized geometry; formation energy from the elements = -0.11 eV per atom; M_tot = 0.43 μB/atom
1.0
5.719 0.000 2.608
2.859 6.929 1.304
-0.016 0.000 7.608
Ni Pm
22 2
Direct
0.068 0.919 0.329
0.434 0.829 0.419
0.604 0.081 0.329
0.316 0.081 0.671
0.682 0.171 0.581
0.875 0.750 0.250
0.146 0.419 0.171
0.000 0.000 0.000
0.375 0.750 0.750
0.875 0.250 0.250
0.737 0.829 0.581
0.434 0.419 0.829
0.068 0.329 0.919
0.737 0.581 0.829
0.604 0.329 0.081
0.682 0.581 0.171
0.146 0.171 0.419
0.875 0.250 0.750
0.013 0.919 0.671
0.750 0.500 0.500
0.316 0.671 0.081
0.013 0.671 0.919
0.250 0.500 0.500
0.500 0.000 0.000


Entry 3:
TbLuThIn PBE optimized geometry; formation energy from the elements = -0.08 eV per atom; M_tot = 0.00 μB/atom
1.0
-0.832 4.048 3.575
-0.069 -1.060 5.360
4.097 1.723 3.178
Th Tb In Lu
1 1 1 1
Direct
0.500 0.500 0.500
0.000 0.000 0.000
0.750 0.750 0.750
0.250 0.250 0.250


Entry 4:
ErThPd2 PBE optimized geometry; energy above the most stable polymorph in this dataset = 0.000 eV per atom; formation energy from the elements = -0.86 eV per atom; M_tot = 0.00 μB/atom
1.0
3.540 0.000 -1.289
0.000 4.630 0.000
0.066 0.000 5.680
Er Pd Th
1 2 1
Direct
0.446 0.500 0.430
0.994 0.000 0.527
0.171 0.500 0.880
0.720 0.000 0.980


Entry 5:
BaFeRu PBE optimized geometry; energy above the most stable polymorph in this dataset = 1.505 eV per atom; formation energy from the elements = 1.84 eV per atom; M_tot = 1.20 μB/atom
1.0
4.687 0.000 0.000
2.343 4.059 0.000
2.343 1.353 3.827
Fe Ru Ba
1 1 1
Direct
0.000 0.000 0.000
0.500 0.500 0.500
0.750 0.750 0.750


Entry 6:
Sr3Re PBE optimized geometry; energy above the most stable polymorph in this dataset = 0.407 eV per atom; formation energy from the elements = 1.15 eV per atom; M_tot = 0.00 μB/atom
1.0
-4.957 -0.161 -3.813
3.338 -5.284 -0.261
-1.955 -1.364 2.600
Sr Re
3 1
Direct
0.500 0.500 0.000
0.500 0.000 0.500
0.000 0.500 0.500
0.000 0.000 0.000


Entry 7:
PaTcBOs2 PBE optimized geometry; formation energy from the elements = -0.42 eV per atom; M_tot = 0.00 μB/atom
1.0
4.280 0.000 0.000
0.000 4.207 0.000
0.000 0.000 4.207
Os Pa B Tc
2 1 1 1
Direct
0.000 0.500 0.000
0.000 0.000 0.500
0.500 0.500 0.500
0.000 0.000 0.000
0.500 0.000 0.000


Entry 8:
CaS2NCl PBE optimized geometry; formation energy (no corrections) = 0.748 eV per atom; energy above the most stable polymorph in this dataset = 0.840 eV per atom; M_tot = 1.20 μB/atom
1.0
5.650 0.000 0.000
0.000 5.650 0.000
0.000 0.000 5.348
N Ca Cl S
1 1 1 2
Direct
0.500 0.500 0.500
0.000 0.000 0.000
0.000 0.000 0.500
0.500 0.000 0.000
0.000 0.500 0.000


Entry 9:
SrMn5Br12 PBE optimized geometry; formation energy (no corrections) = -0.991 eV per atom; M_tot = 0.28 μB/atom
1.0
6.909 0.000 0.025
3.455 5.988 0.013
0.046 0.000 14.127
Br Sr Mn
12 1 5
Direct
0.168 0.333 0.396
0.370 0.000 0.113
0.001 0.372 0.887
0.165 0.000 0.604
0.501 0.667 0.396
0.999 0.628 0.113
0.835 0.000 0.396
0.832 0.667 0.604
0.373 0.628 0.887
0.499 0.333 0.604
0.627 0.372 0.113
0.630 0.000 0.887
0.000 0.000 0.000
0.333 0.333 0.000
0.833 0.333 0.500
0.500 0.000 0.500
0.667 0.667 0.000
0.167 0.667 0.500


Entry 10:
Na3YN PBE optimized geometry; formation energy (no corrections) = 0.673 eV per atom; energy above the most stable polymorph in this dataset = 0.000 eV per atom; M_tot = 0.20 μB/atom
1.0
-0.138 -3.318 3.648
3.692 -2.489 -2.125
3.270 2.670 2.553
Na Y N
3 1 1
Direct
0.500 0.000 0.000
0.000 0.500 0.000
0.000 0.000 0.500
0.500 0.500 0.500
0.000 0.000 0.000


Entry 11:
UBi7Pd4 PBE optimized geometry; formation energy from the elements = 0.01 eV per atom; M_tot = 0.22 μB/atom
1.0
5.817 0.000 0.000
2.908 8.153 -0.035
2.908 0.363 6.726
Bi Pd U
7 4 1
Direct
0.661 0.353 0.325
0.806 0.908 0.479
0.500 0.000 0.000
0.108 0.624 0.161
0.892 0.376 0.839
0.339 0.647 0.675
0.194 0.092 0.521
0.741 0.706 0.812
0.259 0.294 0.188
0.529 0.700 0.242
0.471 0.300 0.758
0.000 0.000 0.000


Entry 12:
Ba2As2Au PBE optimized geometry; energy above the most stable polymorph in this dataset = 0.135 eV per atom; formation energy from the elements = -0.79 eV per atom; M_tot = 0.00 μB/atom
1.0
8.328 0.000 0.000
0.000 8.328 0.000
0.000 0.000 4.544
As Ba Au
4 4 2
Direct
0.604 0.104 0.000
0.104 0.396 0.000
0.896 0.604 0.000
0.396 0.896 0.000
0.688 0.812 0.500
0.188 0.688 0.500
0.312 0.188 0.500
0.812 0.312 0.500
0.000 0.000 0.000
0.500 0.500 0.000


Entry 13:
Rb2ScTeO6 PBE optimized geometry; formation energy (no corrections) = -1.745 eV per atom; M_tot = 0.10 μB/atom
1.0
5.840 0.000 0.000
0.000 5.840 0.000
0.000 0.000 8.258
O Sc Rb Te
12 2 4 2
Direct
0.738 0.488 0.500
0.762 0.512 0.000
0.238 0.988 0.000
0.762 0.988 0.000
0.262 0.488 0.500
0.500 0.250 0.262
0.500 0.250 0.738
0.000 0.750 0.762
0.238 0.512 0.000
0.000 0.750 0.238
0.262 0.012 0.500
0.738 0.012 0.500
0.000 0.750 0.500
0.500 0.250 0.000
0.500 0.750 0.750
0.000 0.250 0.750
0.000 0.250 0.250
0.500 0.750 0.250
0.500 0.250 0.500
0.000 0.750 0.000


Entry 14:
Tl6HgS8 PBE optimized geometry; formation energy (no corrections) = -0.003 eV per atom; M_tot = 0.00 μB/atom
1.0
-3.427 -7.209 -0.014
7.611 -2.333 0.575
-1.229 1.856 7.665
S Tl Hg
8 6 1
Direct
0.657 0.393 0.170
0.343 0.607 0.830
0.607 0.830 0.343
0.393 0.170 0.657
0.170 0.657 0.393
0.830 0.343 0.607
0.201 0.201 0.201
0.799 0.799 0.799
0.545 0.149 0.351
0.649 0.455 0.851
0.851 0.649 0.455
0.351 0.545 0.149
0.149 0.351 0.545
0.455 0.851 0.649
0.000 0.000 0.000


Entry 15:
Ti2Co3Sn PBE optimized geometry; formation energy from the elements = -0.38 eV per atom; M_tot = 0.47 μB/atom
1.0
-1.459 -3.682 1.583
4.200 0.664 -0.330
0.110 4.129 9.706
Ti Co Sn
4 6 2
Direct
0.000 0.000 0.000
0.333 0.667 0.167
0.667 0.333 0.833
0.000 0.000 0.500
0.000 0.000 0.763
0.000 0.000 0.237
0.333 0.667 0.927
0.667 0.333 0.580
0.333 0.667 0.420
0.667 0.333 0.073
0.333 0.667 0.669
0.667 0.333 0.331


Entry 16:
YHoMg4 PBE optimized geometry; energy above the most stable polymorph in this dataset = 0.026 eV per atom; formation energy from the elements = -0.05 eV per atom; M_tot = 0.02 μB/atom
1.0
3.321 0.000 0.960
2.131 6.593 -1.147
-0.470 -3.294 7.847
Mg Y Ho
4 1 1
Direct
0.837 0.488 0.839
0.662 0.014 0.663
0.338 0.986 0.337
0.163 0.512 0.161
0.500 0.500 0.500
0.000 0.000 0.000


Entry 17:
Co3PS PBE optimized geometry; formation energy (no corrections) = 0.460 eV per atom; energy above the most stable polymorph in this dataset = 0.000 eV per atom; M_tot = 0.42 μB/atom
1.0
-2.611 2.380 2.081
0.280 -2.515 3.226
3.149 2.196 1.439
Co S P
3 1 1
Direct
0.000 0.000 0.500
0.500 0.000 0.000
0.000 0.500 0.000
0.000 0.000 0.000
0.500 0.500 0.500


Entry 18:
PmTmAg2S4 PBE optimized geometry; formation energy (no corrections) = -1.262 eV per atom; M_tot = 0.00 μB/atom
1.0
4.059 0.000 0.000
0.000 6.549 0.009
0.000 2.446 6.583
S Ag Pm Tm
4 2 1 1
Direct
0.500 0.741 0.263
0.000 0.257 0.255
0.500 0.259 0.737
0.000 0.743 0.745
0.000 0.000 0.000
0.500 0.000 0.500
0.500 0.500 0.000
0.000 0.500 0.500


Entry 19:
Mn4Pt5W PBE optimized geometry; formation energy from the elements = -0.32 eV per atom; M_tot = 1.74 μB/atom
1.0
-2.668 -0.967 -0.477
-0.262 -0.654 2.790
-6.664 16.746 3.301
Pt Mn W
5 4 1
Direct
0.500 0.500 0.695
0.500 0.500 0.896
0.500 0.500 0.305
0.500 0.500 0.500
0.500 0.500 0.104
0.000 0.000 0.793
0.000 0.000 0.402
0.000 0.000 0.207
0.000 0.000 0.598
0.000 0.000 0.000